# LaTm2Ni

LaTm2Ni after structural relaxation (PBE, the Alexandria database).

- Uncorrected energy: -41.0 eV/cell
- Total moment: 0.0 μB/f.u.
- E_form: -81 kJ/mol of formula units
- Polymorph energy (0 for the lowest one): 2 meV/atom
- N(E_F): 5.530 states/eV/f.u.
- V: 26.6 Å³/atom

a b c (Å): 3.660 6.355 9.565
angles (deg): 90.00 90.00 106.68
Element x y z (fractional)
Tm (0.141, 0.281, 0.429)
Tm (0.859, 0.719, 0.571)
Tm (0.859, 0.719, 0.929)
Tm (0.141, 0.281, 0.071)
La (0.420, 0.839, 0.250)
La (0.580, 0.161, 0.750)
Ni (0.736, 0.470, 0.250)
Ni (0.264, 0.530, 0.750)

---

# HfGaHBr2

HfGaHBr2 after structural relaxation (PBE, the Alexandria database).

- Uncorrected energy: -18.6 eV/cell
- Total moment: 1.7 μB/f.u.
- N(E_F): 3.077 states/eV/f.u.
- V: 21.2 Å³/atom

a b c (Å): 5.556 3.428 5.556
angles (deg): 90.00 90.00 90.00
Site moments in Bohr magnetons follow the coordinates.
Element x y z (fractional)
Hf (0.500, 0.500, 0.500)  1.03
H (0.000, 0.500, 0.000)  0.00
Br (0.500, 0.000, 0.000)  -0.01
Br (0.000, 0.000, 0.500)  0.01
Ga (0.000, 0.000, 0.000)  -0.01

---

# FeH3Ir

FeH3Ir after structural relaxation (PBE, the Alexandria database).

- Uncorrected energy: -25.0 eV/cell
- Total moment: 0.0 μB/f.u.
- Polymorph energy (0 for the lowest one): 177 meV/atom
- N(E_F): 6.695 states/eV/f.u.
- V: 6.7 Å³/atom

a b c (Å): 3.223 3.223 3.223
angles (deg): 90.00 90.00 90.00
Element x y z (fractional)
Fe (0.000, 0.000, 0.000)
Ir (0.500, 0.500, 0.500)
H (0.500, 0.000, 0.000)
H (0.000, 0.500, 0.000)
H (0.000, 0.000, 0.500)

---

# AlRhCl2

AlRhCl2 after structural relaxation (PBE, the Alexandria database).

- Energy relative to the elements, uncorrected: 0.2 eV per formula unit
- Uncorrected energy: -14.5 eV/cell
- Total moment: 0.0 μB/f.u.
- Polymorph energy (0 for the lowest one): 653 meV/atom
- N(E_F): 2.805 states/eV/f.u.
- V: 19.8 Å³/atom

a b c (Å): 3.312 3.312 8.585
angles (deg): 90.00 90.00 122.70
Element x y z (fractional)
Cl (0.000, 0.000, 0.457)
Cl (0.000, 0.000, 0.043)
Al (0.500, 0.500, 0.750)
Rh (0.500, 0.500, 0.250)

---

# Sr3Ac3MgTe8

Sr3Ac3MgTe8 after structural relaxation (PBE, the Alexandria database).

- Energy relative to the elements, uncorrected: -22.4 eV per formula unit
- Uncorrected energy: -66.5 eV/cell
- Total moment: 0.0 μB/f.u.
- N(E_F): 4.321 states/eV/f.u.
- V: 39.4 Å³/atom

a b c (Å): 9.379 9.380 9.463
angles (deg): 119.71 90.00 120.00
Element x y z (fractional)
Te (0.767, 0.001, 0.268)
Te (0.234, 0.001, 0.268)
Te (0.233, 0.999, 0.732)
Te (0.766, 0.999, 0.732)
Te (0.751, 0.502, 0.753)
Te (0.767, 0.534, 0.268)
Te (0.233, 0.466, 0.732)
Te (0.249, 0.498, 0.247)
Ac (0.500, 0.000, 0.500)
Ac (0.000, 0.500, 0.500)
Ac (0.500, 0.500, 0.500)
Sr (0.500, 0.500, 0.000)
Sr (0.000, 0.500, 0.000)
Sr (0.000, 0.000, 0.000)
Mg (0.000, 0.000, 0.500)

---

# AlCoAs

AlCoAs after structural relaxation (PBE, the Alexandria database).

- Uncorrected energy: -16.6 eV/cell
- Total moment: 0.0 μB/f.u.
- E_form: -106 kJ/mol of formula units
- N(E_F): 1.877 states/eV/f.u.
- V: 14.7 Å³/atom

a b c (Å): 3.970 3.970 3.970
angles (deg): 60.00 60.00 60.00
Element x y z (fractional)
Co (0.750, 0.750, 0.750)
As (0.500, 0.500, 0.500)
Al (0.000, 0.000, 0.000)